A relaxed structure of BaP. Source: Alexandria, functional PBE.

Output
The value obtained for the calculated formation energy is -0.73 eV per atom. The space group is No. 63. As for the density: 4.637 g/cm³. The value obtained for the total energy is -4.397 eV per atom.

Unit cell a=6.234 b=6.234 c=4.370 alpha=90.00 beta=90.00 gamma=134.78
Last column: magnetic moment on the atom in μB.
Fractional coordinates of all 4 atoms:
Ba 0.140 0.860 0.250  0.11
Ba 0.860 0.140 0.750  0.11
P 0.449 0.551 0.250  0.01
P 0.551 0.449 0.750  0.01